--- i ---
Below is a geometry-optimized SmPa2C structure, with properties calculated at the GGA-PBE level.

Unit cell a=3.122 b=3.122 c=8.727 alpha=90.00 beta=90.00 gamma=90.00
Sites, in units of the cell vectors:
Sm 0.000 0.000 0.000
Pa 0.500 0.500 0.337
Pa 0.500 0.500 0.663
C 0.000 0.000 0.500

Values from the calculation:
D(E_F) (states/eV per atom): 1.606
Size of the total moment (μB per atom): 0.00

--- ii ---
Below is a geometry-optimized SmPa2C structure, with properties calculated at the GGA-PBE level.

Unit cell a=9.735 b=9.735 c=9.735 alpha=19.81 beta=19.81 gamma=19.81
Sites, in units of the cell vectors:
Sm 0.000 0.000 0.000
Pa 0.115 0.115 0.115
Pa 0.885 0.885 0.885
C 0.500 0.500 0.500

Values from the calculation:
D(E_F) (states/eV per atom): 1.830
Size of the total moment (μB per atom): 0.00

ii wins, 216 meV/atom ahead of the next structure.